[1]
Computed, not measured: crystalline PuTl4Se4 at its relaxed geometry at the PBE level of DFT.

```
PuTl4Se4
1.0
-3.815 3.815 5.600
3.815 -3.815 5.600
3.815 3.815 -5.600
Pu Tl Se
1 4 4
Cartesian
0.000 0.000 0.000
3.815 0.000 0.000
0.000 0.000 3.840
0.000 3.815 0.000
0.000 0.000 7.360
2.316 -2.316 3.851
1.499 1.499 1.749
-2.316 2.316 3.851
2.316 2.316 7.348
```

Output
Formation energy without anion corrections = -0.475 eV/atom
Energy = -4.6681 eV/atom
Total moment = 0.48 μB/atom

=====

[2]
Computed, not measured: crystalline TbPmDyPb at its relaxed geometry at the PBE level of DFT.

```
TbPmDyPb
1.0
7.785 0.000 0.000
0.000 7.785 0.000
0.000 0.000 7.785
Tb Pm Dy Pb
4 4 4 4
Cartesian
0.000 0.000 0.000
0.000 3.893 3.893
3.893 0.000 3.893
3.893 3.893 0.000
1.946 1.946 1.946
1.946 5.839 5.839
5.839 1.946 5.839
5.839 5.839 1.946
0.000 0.000 3.893
0.000 3.893 0.000
3.893 0.000 0.000
3.893 3.893 3.893
1.946 1.946 5.839
1.946 5.839 1.946
5.839 1.946 1.946
5.839 5.839 5.839
```

Output
Energy = -4.5199 eV/atom
Formation enthalpy at 0 K = -0.10 eV per atom
Total moment = 0.07 μB/atom

=====

[3]
Computed, not measured: crystalline Nd2ZnB2Ru5 at its relaxed geometry at the PBE level of DFT.

```
Nd2ZnB2Ru5
1.0
9.739 0.000 0.000
0.000 9.739 0.000
0.000 0.000 3.167
Nd Zn B Ru
4 2 4 10
Cartesian
1.719 3.151 0.000
3.151 8.020 0.000
6.589 1.719 0.000
8.020 6.589 0.000
0.000 0.000 0.000
4.870 4.870 0.000
1.198 6.068 0.000
3.671 1.198 0.000
6.068 8.541 0.000
8.541 3.671 0.000
0.000 4.870 1.583
0.680 7.578 1.583
2.162 0.680 1.583
2.708 5.549 1.583
4.190 2.708 1.583
4.870 0.000 1.583
5.549 7.031 1.583
7.031 4.190 1.583
7.578 9.059 1.583
9.059 2.162 1.583
```

Output
Energy = -7.2627 eV/atom
Formation enthalpy at 0 K = -0.21 eV per atom
Total moment = 0.00 μB/atom

=====

[4]
Computed, not measured: crystalline Pm4Zn3Ru at its relaxed geometry at the PBE level of DFT.

```
Pm4Zn3Ru
1.0
3.910 0.000 0.000
0.000 4.560 0.000
0.000 0.000 11.036
Pm Zn Ru
4 3 1
Cartesian
0.000 0.000 0.000
0.000 2.280 2.941
1.955 0.000 5.129
1.955 2.280 8.569
0.000 0.000 7.657
0.000 2.280 6.128
1.955 2.280 0.661
1.955 0.000 2.179
```

Output
Energy = -4.2929 eV/atom
Formation enthalpy at 0 K = -0.28 eV per atom
Total moment = 0.00 μB/atom

=====

Q: Look up the energy of the first one.
A: -4.6681 eV/atom